ZrNiSb3 after structural relaxation. Source: the Alexandria database, functional PBE-GGA.

extended XYZ file:
```
5
Lattice="5.4797 0.0000 0.0000 0.0000 5.4797 0.0000 0.0000 0.0000 5.4797" Properties=species:S:1:pos:R:3 pbc="T T T"
Zr 0.0000 0.0000 0.0000
Ni 2.7399 2.7399 2.7399
Sb 0.0000 0.0000 2.7399
Sb 0.0000 2.7399 0.0000
Sb 2.7399 0.0000 0.0000
```

E_tot: -22.60 eV for the cell shown
Space group: Pm-3m, No. 221
Energy above the lowest structure with this stoichiometry: 0.5264 eV per atom
Total moment: 0.00 μB/cell